Entry 1:
BaTa (GGA-PBE, optimized geometry); energy relative to the elements = 1.577 eV per atom
1.0
6.913 0.000 0.000
0.000 6.913 0.000
0.000 0.000 6.818
Ba Ta
4 4
direct
0.173 0.173 0.000
0.327 0.673 0.500
0.673 0.327 0.500
0.827 0.827 0.000
0.117 0.117 0.500
0.383 0.617 0.000
0.617 0.383 0.000
0.883 0.883 0.500

---

Entry 2:
Zn2NiPb (GGA-PBE, optimized geometry); energy relative to the elements = 0.221 eV per atom
1.0
2.705 -3.051 0.000
2.705 3.051 0.000
0.000 0.000 4.179
Zn Ni Pb
2 1 1
direct
0.000 0.500 0.000
0.500 0.000 0.000
0.000 0.000 0.500
0.500 0.500 0.500

---

Entry 3:
In4Pd2Pt (GGA-PBE, optimized geometry); energy relative to the elements = -0.384 eV per atom
1.0
-3.312 3.312 3.223
3.312 -3.312 3.223
3.312 3.312 -3.223
In Pd Pt
4 2 1
direct
0.000 0.000 0.500
0.000 0.500 0.000
0.500 0.000 0.000
0.500 0.500 0.500
0.000 0.500 0.500
0.500 0.000 0.500
0.000 0.000 0.000

---

Entry 4:
Cu6Ni5Au (GGA-PBE, optimized geometry); energy relative to the elements = 0.080 eV per atom
1.0
2.020 -6.068 0.000
2.020 6.068 0.000
0.000 0.000 5.872
Cu Ni Au
6 5 1
direct
0.000 0.000 0.232
0.000 0.000 0.768
0.327 0.673 0.241
0.327 0.673 0.759
0.673 0.327 0.241
0.673 0.327 0.759
0.166 0.834 0.000
0.167 0.833 0.500
0.500 0.500 0.000
0.833 0.167 0.500
0.834 0.166 0.000
0.500 0.500 0.500

---

Entry 5:
Nb3OsSe (GGA-PBE, optimized geometry); formation energy without anion corrections = 1.03 eV/atom
1.0
4.649 0.000 0.000
0.000 4.649 0.000
0.000 0.000 4.649
Nb Os Se
3 1 1
direct
0.000 0.000 0.500
0.000 0.500 0.000
0.500 0.000 0.000
0.500 0.500 0.500
0.000 0.000 0.000

---

Entry 6:
NaCu2AgF8 (GGA-PBE, optimized geometry); formation energy without anion corrections = -1.56 eV/atom
1.0
-2.759 2.759 5.232
2.759 -2.759 5.232
2.759 2.759 -5.232
Na Cu Ag F
1 2 1 8
direct
0.000 0.000 0.000
0.500 0.500 0.000
0.750 0.250 0.500
0.250 0.750 0.500
0.038 0.383 0.941
0.210 0.383 0.577
0.366 0.790 0.173
0.442 0.097 0.059
0.617 0.193 0.827
0.617 0.558 0.656
0.807 0.634 0.423
0.903 0.962 0.344

---

Entry 7:
KYMn2 (GGA-PBE, optimized geometry); energy relative to the elements = 0.967 eV per atom
1.0
0.000 3.674 3.674
3.674 0.000 3.674
3.674 3.674 0.000
K Y Mn
1 1 2
direct
0.000 0.000 0.000
0.750 0.750 0.750
0.250 0.250 0.250
0.500 0.500 0.500

---

Entry 8:
LiPtAu (GGA-PBE, optimized geometry); energy relative to the elements = -0.302 eV per atom
1.0
7.610 -1.361 0.000
7.610 1.361 0.000
-1.469 0.000 4.615
Li Pt Au
2 2 2
direct
0.110 0.110 0.374
0.890 0.890 0.626
0.257 0.257 0.251
0.743 0.743 0.749
0.067 0.067 0.830
0.933 0.933 0.170

---

Entry 9:
CeSmY3Ho (GGA-PBE, optimized geometry); energy relative to the elements = 0.059 eV per atom
1.0
2.530 -7.549 0.000
2.530 7.549 0.000
0.000 0.000 10.098
Ce Sm Y Ho
2 2 6 2
direct
0.001 0.999 0.750
0.999 0.001 0.250
0.500 0.500 0.000
0.500 0.500 0.500
0.165 0.835 0.000
0.165 0.835 0.500
0.333 0.667 0.750
0.667 0.333 0.250
0.835 0.165 0.000
0.835 0.165 0.500
0.334 0.666 0.250
0.666 0.334 0.750

---

Entry 10:
Zr2CuSn4 (GGA-PBE, optimized geometry); energy relative to the elements = -0.121 eV per atom
1.0
8.070 -1.775 0.000
8.070 1.775 0.000
-2.211 0.000 5.627
Zr Cu Sn
2 1 4
direct
0.246 0.246 0.263
0.754 0.754 0.737
0.000 0.000 0.000
0.095 0.095 0.458
0.397 0.397 0.089
0.603 0.603 0.911
0.905 0.905 0.542